(1)
A plane-wave DFT calculation with PBE was carried out for a relaxed HfNbIrOs crystal.

Cell lengths 4.5750, 4.5750, 4.5750 Å; angles 60.00, 60.00, 60.00 degrees
Positions (direct):
Hf 0.0000 0.0000 0.0000
Nb 0.5000 0.5000 0.5000
Ir 0.2500 0.2500 0.2500
Os 0.7500 0.7500 0.7500

* mass density: 16.04 g cm⁻³
* energy of formation from the pure elements: -0.43 eV per atom
* space group: F-43m (216)
* D(E_F): 1.157 states/eV/atom

=====

(2)
A plane-wave DFT calculation with PBE was carried out for a relaxed BaTcAg2Pt crystal.

Cell lengths 5.2234, 5.2234, 4.8312 Å; angles 90.00, 90.00, 90.00 degrees
Positions (direct):
Ba 0.0000 0.0000 0.0000
Tc 0.5000 0.5000 0.5000
Ag 0.0000 0.5000 0.5000
Ag 0.5000 0.0000 0.5000
Pt 0.5000 0.5000 0.0000

* mass density: 8.14 g cm⁻³
* energy of formation from the pure elements: 0.39 eV per atom
* space group: P4/mmm (123)
* D(E_F): 0.790 states/eV/atom

=====

(3)
A plane-wave DFT calculation with PBE was carried out for a relaxed K2NaSrSe crystal.

Cell lengths 6.4764, 6.4764, 5.9837 Å; angles 90.00, 90.00, 90.00 degrees
Positions (direct):
K 0.0000 0.5000 0.0000
K 0.5000 0.0000 0.0000
Na 0.0000 0.0000 0.5000
Sr 0.5000 0.5000 0.5000
Se 0.5000 0.5000 0.0000

* mass density: 1.77 g cm⁻³
* space group: P4/mmm (123)
* uncorrected formation energy: -0.6255 eV/atom
* D(E_F): 0.522 states/eV/atom

=====

> Look up the D(E_F) of the second one.

0.790 states/eV/atom

=====

> Number 2 is which compound?

BaTcAg2Pt